Entry 1:
First-principles (GGA-PBE) data for CdSiNO after structural relaxation, as listed in OQMD via LeMat-Bulk.

## Properties
polymorph energy (0 for the lowest one): 0.081 eV/atom
E_tot: -23.881 eV per formula unit

Cell: 2.921 7.163 5.026 Å, 90.00 90.00 90.00°
Element x y z (fractional)
Cd: 0.000 0.106 0.000
Cd: 0.000 0.894 0.500
Si: 0.500 0.368 0.478
Si: 0.500 0.632 0.978
N: 0.000 0.247 0.423
N: 0.000 0.753 0.923
O: 0.500 0.439 0.793
O: 0.500 0.561 0.293



Entry 2:
First-principles (GGA-PBE) data for CdSiNO after structural relaxation, as listed in OQMD via LeMat-Bulk.

## Properties
polymorph energy (0 for the lowest one): 0.579 eV/atom
E_tot: -21.889 eV per formula unit

Cell: 5.104 7.179 5.569 Å, 90.00 90.00 90.00°
Element x y z (fractional)
Cd: 0.015 0.140 0.000
Cd: 0.485 0.140 0.500
Cd: 0.515 0.860 0.000
Cd: 0.985 0.860 0.500
Si: 0.013 0.646 0.894
Si: 0.487 0.646 0.394
Si: 0.513 0.354 0.894
Si: 0.987 0.354 0.394
N: 0.003 0.174 0.588
N: 0.497 0.174 0.088
N: 0.503 0.826 0.588
N: 0.997 0.826 0.088
O: 0.226 0.510 0.400
O: 0.274 0.510 0.900
O: 0.726 0.490 0.400
O: 0.774 0.490 0.900



Entry 3:
First-principles (GGA-PBE) data for CdSiNO after structural relaxation, as listed in OQMD via LeMat-Bulk.

## Properties
polymorph energy (0 for the lowest one): 0.000 eV/atom
E_tot: -24.206 eV per formula unit

Cell: 5.188 8.312 4.745 Å, 90.00 90.00 90.00°
Element x y z (fractional)
Cd: 0.042 0.114 0.000
Cd: 0.458 0.114 0.500
Cd: 0.542 0.886 0.000
Cd: 0.958 0.886 0.500
Si: 0.079 0.590 0.975
Si: 0.421 0.590 0.475
Si: 0.579 0.410 0.975
Si: 0.921 0.410 0.475
N: 0.111 0.566 0.612
N: 0.389 0.566 0.112
N: 0.611 0.434 0.612
N: 0.889 0.434 0.112
O: 0.038 0.236 0.550
O: 0.462 0.236 0.050
O: 0.538 0.764 0.550
O: 0.962 0.764 0.050



Entry 4:
First-principles (GGA-PBE) data for CdSiNO after structural relaxation, as listed in OQMD via LeMat-Bulk.

## Properties
polymorph energy (0 for the lowest one): 1.081 eV/atom
E_tot: -19.882 eV per formula unit

Cell: 4.055 4.055 6.328 Å, 90.00 90.00 90.00°
Element x y z (fractional)
Cd: 0.250 0.250 0.127
Cd: 0.750 0.750 0.873
Si: 0.250 0.750 0.500
Si: 0.750 0.250 0.500
N: 0.250 0.250 0.506
N: 0.750 0.750 0.494
O: 0.250 0.750 0.000
O: 0.750 0.250 0.000